Record 1
A plane-wave DFT calculation with PBE-GGA was carried out for a geometry-optimized SrAgAs2 structure.

a b c (Å): 5.6365 5.6365 4.8787
angles (deg): 76.05 76.05 44.48
Closest atoms and distances in Å follow each position.
Atoms (fractional coordinates):
Sr1 0.5169 0.5169 0.4957  6 As 3.23-3.33, 2 Ag 3.28-3.36
As1 0.9618 0.9618 0.0143  1 As 2.69, 2 Ag 2.72
As2 0.7278 0.7278 0.8804  2 Ag 2.58, 1 As 2.69
Ag1 0.2935 0.2935 0.1096  4 As 2.58-2.72

* space-group type: Cm (8)
* ΔE_f: -135 kJ/mol of formula units
* calculated total energy: -3.81 eV per atom

***

Record 2
A plane-wave DFT calculation with PBE-GGA was carried out for a geometry-optimized SrAg2As2 structure.

a b c (Å): 4.9136 4.9136 6.0163
angles (deg): 65.90 65.90 90.00
Closest atoms and distances in Å follow each position.
Atoms (fractional coordinates):
Sr1 0.0000 0.0000 0.0000  8 As 3.47, 10 Ag 3.51-3.75
As1 0.7500 0.2500 0.5000  4 Ag 2.67
As2 0.2500 0.7500 0.5000  4 Ag 2.67
Ag1 0.3574 0.3574 0.2851  4 As 2.67, 1 Ag 2.80
Ag2 0.6426 0.6426 0.7149  4 As 2.67, 1 Ag 2.80

* space-group type: I4/mmm (139)
* ΔE_f: -148 kJ/mol of formula units
* calculated total energy: -3.64 eV per atom

***

Record 3
A plane-wave DFT calculation with PBE-GGA was carried out for a geometry-optimized SrAgAs structure.

a b c (Å): 4.5743 4.5745 8.4503
angles (deg): 90.00 90.00 60.00
Closest atoms and distances in Å follow each position.
Atoms (fractional coordinates):
Sr1 0.3242 0.9354 0.2742  6 As 3.38, 6 Ag 3.38
Sr2 0.3242 0.9354 0.7742  6 As 3.38, 6 Ag 3.38
As1 0.6576 0.2687 0.5245  3 Ag 2.64
As2 0.9908 0.6022 0.0245  3 Ag 2.64
Ag1 0.9909 0.6020 0.5242  3 As 2.64
Ag2 0.6574 0.2688 0.0242  3 As 2.64

* space-group type: P6_3/mmc (194)
* ΔE_f: -229 kJ/mol of formula units
* calculated total energy: -3.85 eV per atom

***

Record 4
A plane-wave DFT calculation with PBE-GGA was carried out for a geometry-optimized SrAgAs structure.

a b c (Å): 4.5244 4.5244 4.3913
angles (deg): 90.00 90.00 120.00
Closest atoms and distances in Å follow each position.
Atoms (fractional coordinates):
Sr1 0.3333 0.6667 0.6664  6 As 3.41, 6 Ag 3.41
As1 0.6667 0.3333 0.1669  3 Ag 2.61
Ag1 0.0000 0.0000 0.1667  3 As 2.61

* space-group type: P-6m2 (187)
* ΔE_f: -216 kJ/mol of formula units
* calculated total energy: -3.81 eV per atom